No. 1
A relaxed structure of TmZn2Co2P, computed with GGA-PBE.

Electronic total energy   -4.81 eV per atom

Cell: 4.1836 4.1836 5.4363 Å, 90.00 90.00 90.00°
Last column: nearest neighbours and their distance in Å.
Sites, in units of the cell vectors:
Tm 0.0000 0.0000 0.0000  2 P 2.72
Zn 0.5000 0.5000 0.2272  1 Zn 2.47, 4 Co 2.56
Zn 0.5000 0.5000 0.7728  1 Zn 2.47, 4 Co 2.56
Co 0.0000 0.5000 0.5000  2 P 2.09
Co 0.5000 0.0000 0.5000  2 P 2.09
P 0.0000 0.0000 0.5000  4 Co 2.09

=====

No. 2
A relaxed structure of U3Co7P2, computed with GGA-PBE.

Electronic total energy   -8.35 eV per atom

Cell: 12.4666 12.4666 3.6856 Å, 90.00 90.00 162.83°
Last column: nearest neighbours and their distance in Å.
Sites, in units of the cell vectors:
U 0.0000 0.0000 0.0000  12 Co 2.62-2.65
U 0.1817 0.8183 0.0000  4 Co 2.75, 4 P 2.96
U 0.8183 0.1817 0.0000  4 Co 2.75, 4 P 2.96
Co 0.0765 0.9235 0.5000  2 P 2.23
Co 0.2839 0.7161 0.5000  1 P 2.22
Co 0.4233 0.5767 0.0000  2 P 2.21
Co 0.5000 0.5000 0.5000  4 U 2.62, 8 Co 2.64-2.65
Co 0.5767 0.4233 0.0000  2 P 2.21
Co 0.7161 0.2839 0.5000  1 P 2.22
Co 0.9235 0.0765 0.5000  2 P 2.23
P 0.3739 0.6261 0.5000  5 Co 2.21-2.23
P 0.6261 0.3739 0.5000  5 Co 2.21-2.23

=====

No. 3
A relaxed structure of UCo3P, computed with GGA-PBE.

Electronic total energy   -8.03 eV per atom

Cell: 5.7648 5.7648 5.7648 Å, 129.84 105.15 95.62°
Last column: nearest neighbours and their distance in Å.
Sites, in units of the cell vectors:
U 0.2545 0.0045 0.2500  5 Co 2.50-2.65
U 0.7455 0.9955 0.7500  5 Co 2.50-2.65
Co 0.0679 0.3179 0.7500  2 P 2.25, 4 Co 2.49, 1 U 2.50
Co 0.3013 0.0000 0.8013  2 P 2.32, 4 Co 2.44-2.49
Co 0.3013 0.5000 0.3013  2 P 2.32, 4 Co 2.44-2.49
Co 0.6987 0.0000 0.1987  2 P 2.32, 4 Co 2.44-2.49
Co 0.6987 0.5000 0.6987  2 P 2.32, 4 Co 2.44-2.49
Co 0.9321 0.6821 0.2500  2 P 2.25, 4 Co 2.49, 1 U 2.50
P 0.0000 0.5000 0.5000  6 Co 2.25-2.32
P 0.5000 0.5000 0.0000  6 Co 2.25-2.32

=====

no.,ΔH_f (0 K) (eV per atom)
1,-0.368
2,-0.480
3,-0.429